Entry 1:
Below is a relaxed Nd3Ga2Os crystal, with properties calculated at the PBE level.

```
Nd3Ga2Os
1.0
4.436 0.000 0.000
0.000 11.246 0.000
0.000 0.000 12.334
Nd Ga Os
12 8 4
direct
0.250 0.385 0.052 Nd
0.750 0.615 0.948 Nd
0.750 0.885 0.448 Nd
0.250 0.115 0.552 Nd
0.250 0.712 0.232 Nd
0.750 0.288 0.768 Nd
0.750 0.212 0.268 Nd
0.250 0.788 0.732 Nd
0.250 0.446 0.383 Nd
0.750 0.554 0.617 Nd
0.750 0.946 0.117 Nd
0.250 0.054 0.883 Nd
0.250 0.699 0.485 Ga
0.750 0.301 0.515 Ga
0.750 0.199 0.015 Ga
0.250 0.801 0.985 Ga
0.250 0.012 0.297 Ga
0.750 0.988 0.703 Ga
0.750 0.512 0.203 Ga
0.250 0.488 0.797 Ga
0.250 0.136 0.116 Os
0.750 0.864 0.884 Os
0.750 0.636 0.384 Os
0.250 0.364 0.616 Os
```

Output
DFT formation energy = -0.406 eV per atom

---

Entry 2:
Below is a relaxed NdGa3Os crystal, with properties calculated at the PBE level.

```
NdGa3Os
1.0
5.879 0.000 0.000
0.000 7.601 0.000
0.000 0.000 9.542
Nd Ga Os
4 12 4
direct
0.500 0.398 0.750 Nd
0.000 0.898 0.250 Nd
0.500 0.602 0.250 Nd
0.000 0.102 0.750 Nd
0.750 0.250 0.044 Ga
0.750 0.750 0.544 Ga
0.750 0.750 0.956 Ga
0.250 0.750 0.544 Ga
0.250 0.750 0.956 Ga
0.250 0.250 0.456 Ga
0.250 0.250 0.044 Ga
0.750 0.250 0.456 Ga
0.500 0.957 0.750 Ga
0.000 0.457 0.250 Ga
0.500 0.043 0.250 Ga
0.000 0.543 0.750 Ga
0.000 0.500 0.000 Os
0.500 0.000 0.500 Os
0.500 0.000 0.000 Os
0.000 0.500 0.500 Os
```

Output
DFT formation energy = -0.293 eV per atom

---

Entry 3:
Below is a relaxed PrNdGaOs crystal, with properties calculated at the PBE level.

```
PrNdGaOs
1.0
5.121 0.000 0.000
2.560 4.435 0.000
2.560 1.478 4.181
Pr Nd Os Ga
1 1 1 1
direct
0.000 0.000 0.000 Pr
0.500 0.500 0.500 Nd
0.250 0.250 0.250 Os
0.750 0.750 0.750 Ga
```

Output
DFT formation energy = -0.156 eV per atom

---

Entry 4:
Below is a relaxed TbNdGaOs crystal, with properties calculated at the PBE level.

```
TbNdGaOs
1.0
-2.018 0.151 4.601
-3.902 -2.959 1.131
0.613 -3.875 3.141
Tb Os Ga Nd
1 1 1 1
direct
0.000 0.000 0.000 Tb
0.750 0.750 0.750 Os
0.250 0.250 0.250 Ga
0.500 0.500 0.500 Nd
```

Output
DFT formation energy = -0.248 eV per atom

---

Entry 5:
Below is a relaxed NdTmGaOs crystal, with properties calculated at the PBE level.

```
NdTmGaOs
1.0
4.982 0.000 0.000
2.491 4.314 0.000
2.491 1.438 4.068
Nd Tm Os Ga
1 1 1 1
direct
0.250 0.250 0.250 Nd
0.750 0.750 0.750 Tm
0.500 0.500 0.500 Os
0.000 0.000 0.000 Ga
```

Output
DFT formation energy = -0.274 eV per atom

---

Entry 6:
Below is a relaxed NdYGaOs crystal, with properties calculated at the PBE level.

```
NdYGaOs
1.0
-0.318 4.179 2.766
-2.649 -0.008 4.266
2.363 0.270 4.423
Y Nd Os Ga
1 1 1 1
direct
0.750 0.750 0.750 Y
0.250 0.250 0.250 Nd
0.000 0.000 0.000 Os
0.500 0.500 0.500 Ga
```

Output
DFT formation energy = -0.254 eV per atom

---

Entry 7:
Below is a relaxed Nd2GaP crystal, with properties calculated at the PBE level.

```
Nd2GaP
1.0
-3.899 1.037 -1.252
0.262 -2.758 -3.100
-4.704 -7.138 8.740
Nd Ga P
4 2 2
direct
0.750 0.691 0.382 Nd
0.250 0.309 0.618 Nd
0.750 0.929 0.857 Nd
0.250 0.071 0.143 Nd
0.250 0.466 0.932 Ga
0.750 0.534 0.068 Ga
0.250 0.189 0.379 P
0.750 0.811 0.621 P
```

Output
DFT formation energy = -1.062 eV per atom

---

Entry 8:
Below is a relaxed Nd2GaP crystal, with properties calculated at the PBE level.

```
Nd2GaP
1.0
4.078 0.000 0.000
2.039 3.531 0.000
2.039 1.177 7.525
P Nd Ga
1 2 1
direct
0.000 0.000 0.000 P
0.740 0.740 0.779 Nd
0.260 0.260 0.221 Nd
0.500 0.500 0.500 Ga
```

Output
DFT formation energy = -0.971 eV per atom

---

Entry 9:
Below is a relaxed NdGaP crystal, with properties calculated at the PBE level.

```
NdGaP
1.0
4.071 0.000 0.000
0.000 4.071 0.000
-2.036 -2.036 9.836
Ga Nd P
2 2 2
direct
0.063 0.063 0.126 Ga
0.937 0.937 0.874 Ga
0.673 0.673 0.345 Nd
0.327 0.327 0.655 Nd
0.817 0.817 0.635 P
0.183 0.183 0.365 P
```

Output
DFT formation energy = -0.647 eV per atom

---

Entry 10:
Below is a relaxed Nd4Ga2P crystal, with properties calculated at the PBE level.

```
Nd4Ga2P
1.0
4.196 0.000 1.270
1.821 6.012 1.550
-0.063 0.148 7.772
Nd Ga P
4 2 1
direct
0.084 0.203 0.629 Nd
0.916 0.797 0.371 Nd
0.322 0.268 0.087 Nd
0.678 0.732 0.913 Nd
0.380 0.583 0.657 Ga
0.620 0.417 0.343 Ga
0.000 0.000 0.000 P
```

Output
DFT formation energy = -0.730 eV per atom

---

Entry 11:
Below is a relaxed NdGa2P2Pt7 crystal, with properties calculated at the PBE level.

```
NdGa2P2Pt7
1.0
3.962 -0.002 -0.116
0.003 3.962 -0.116
1.521 1.519 14.269
Nd Ga P Pt
1 2 2 7
direct
0.000 0.000 0.000 Nd
0.866 0.866 0.425 Ga
0.134 0.134 0.575 Ga
0.572 0.572 0.747 P
0.428 0.428 0.253 P
0.500 0.500 0.000 Pt
0.410 0.410 0.411 Pt
0.590 0.590 0.589 Pt
0.953 0.454 0.162 Pt
0.454 0.953 0.162 Pt
0.546 0.047 0.838 Pt
0.047 0.546 0.838 Pt
```

Output
DFT formation energy = -0.572 eV per atom

---

Entry 12:
Below is a relaxed Nd2GaP3Rh4 crystal, with properties calculated at the PBE level.

```
Nd2GaP3Rh4
1.0
-1.878 3.546 -1.022
-3.562 -2.042 -0.537
-2.313 1.524 9.539
Nd Ga P Rh
2 1 3 4
direct
0.500 0.000 0.253 Nd
0.000 0.500 0.747 Nd
0.500 0.500 0.500 Ga
0.000 0.000 0.500 P
0.500 0.000 0.866 P
0.000 0.500 0.134 P
0.500 0.500 0.000 Rh
0.000 0.000 0.000 Rh
0.500 0.000 0.631 Rh
0.000 0.500 0.369 Rh
```

Output
DFT formation energy = -1.033 eV per atom

---

Entry 13:
Below is a relaxed Nd3GaP2Rh8 crystal, with properties calculated at the PBE level.

```
Nd3GaP2Rh8
1.0
5.483 0.000 0.000
-2.741 4.748 0.000
0.000 0.000 9.502
Nd Ga P Rh
3 1 2 8
direct
0.333 0.667 0.568 Nd
0.667 0.333 0.432 Nd
0.000 0.000 0.000 Nd
0.000 0.000 0.500 Ga
0.333 0.667 0.105 P
0.667 0.333 0.895 P
0.333 0.667 0.873 Rh
0.667 0.333 0.127 Rh
0.164 0.836 0.276 Rh
0.836 0.164 0.724 Rh
0.164 0.327 0.276 Rh
0.836 0.673 0.724 Rh
0.673 0.836 0.276 Rh
0.327 0.164 0.724 Rh
```

Output
DFT formation energy = -0.681 eV per atom

---

Entry 14:
Below is a relaxed NdGa2PRu2 crystal, with properties calculated at the PBE level.

```
NdGa2PRu2
1.0
4.423 0.000 0.000
0.000 4.423 0.000
0.000 0.000 5.676
Nd Ga P Ru
1 2 1 2
direct
0.000 0.000 0.500 Nd
0.500 0.500 0.725 Ga
0.500 0.500 0.275 Ga
0.000 0.000 0.000 P
0.500 0.000 0.000 Ru
0.000 0.500 0.000 Ru
```

Output
DFT formation energy = -0.497 eV per atom

---

Entry 15:
Below is a relaxed Nd6GaP2S3 crystal, with properties calculated at the PBE level.

```
Nd6GaP2S3
1.0
4.116 0.000 0.000
0.000 8.360 0.305
-2.058 -2.406 8.739
Nd Ga P S
6 1 2 3
direct
0.332 0.912 0.664 Nd
0.669 0.579 0.338 Nd
0.668 0.088 0.336 Nd
0.001 0.258 0.002 Nd
0.999 0.742 0.998 Nd
0.331 0.421 0.662 Nd
0.500 0.000 0.000 Ga
0.833 0.665 0.665 P
0.167 0.335 0.335 P
0.500 0.500 0.000 S
0.832 0.168 0.665 S
0.168 0.832 0.335 S
```

Output
formation energy from raw total energies = -1.6352 eV/atom

---

Entry 16:
Below is a relaxed Nd4GaTe2P crystal, with properties calculated at the PBE level.

```
Nd4GaTe2P
1.0
4.275 0.000 0.000
0.000 7.566 0.173
0.000 -2.605 7.273
Nd Ga Te P
4 1 2 1
direct
0.500 0.235 0.219 Nd
0.500 0.765 0.781 Nd
0.000 0.253 0.770 Nd
0.000 0.747 0.230 Nd
0.500 0.500 0.000 Ga
0.500 0.000 0.500 Te
0.000 0.500 0.500 Te
0.000 0.000 0.000 P
```

Output
formation energy from raw total energies = -1.2732 eV/atom

---

Entry 17:
Below is a relaxed NdPaGa2 crystal, with properties calculated at the PBE level.

```
NdPaGa2
1.0
3.495 0.000 0.000
1.748 3.027 0.000
1.748 1.009 9.383
Pa Nd Ga
1 1 2
direct
0.000 0.000 0.000 Pa
0.500 0.500 0.500 Nd
0.749 0.749 0.753 Ga
0.251 0.251 0.247 Ga
```

Output
DFT formation energy = -0.145 eV per atom

---

Entry 18:
Below is a relaxed Nd2PaGa6 crystal, with properties calculated at the PBE level.

```
Nd2PaGa6
1.0
4.161 0.000 0.000
0.000 6.393 -3.691
0.000 0.000 7.382
Nd Pa Ga
2 1 6
direct
0.000 0.333 0.667 Nd
0.000 0.667 0.333 Nd
0.000 0.000 0.000 Pa
0.500 0.331 0.331 Ga
0.500 0.669 0.669 Ga
0.500 0.000 0.669 Ga
0.500 0.669 0.000 Ga
0.500 0.331 0.000 Ga
0.500 0.000 0.331 Ga
```

Output
DFT formation energy = -0.564 eV per atom

---

Entry 19:
Below is a relaxed NdPaGa crystal, with properties calculated at the PBE level.

```
NdPaGa
1.0
-1.604 -2.922 -0.221
4.470 -2.445 -0.108
-2.293 0.922 4.456
Pa Nd Ga
1 1 1
direct
0.292 0.667 0.333 Pa
0.712 0.333 0.667 Nd
0.995 0.000 0.000 Ga
```

Output
DFT formation energy = 0.102 eV per atom

---

Entry 20:
Below is a relaxed NdPa2Ga9 crystal, with properties calculated at the PBE level.

```
NdPa2Ga9
1.0
4.327 0.000 0.000
0.000 4.327 0.000
0.000 0.000 12.954
Nd Pa Ga
1 2 9
direct
0.000 0.000 0.000 Nd
0.000 0.000 0.335 Pa
0.000 0.000 0.665 Pa
0.500 0.500 0.000 Ga
0.500 0.500 0.336 Ga
0.500 0.500 0.664 Ga
0.500 0.000 0.171 Ga
0.500 0.000 0.500 Ga
0.500 0.000 0.829 Ga
0.000 0.500 0.171 Ga
0.000 0.500 0.500 Ga
0.000 0.500 0.829 Ga
```

Output
DFT formation energy = -0.423 eV per atom

---

Entry 21:
Below is a relaxed NdPaGa2 crystal, with properties calculated at the PBE level.

```
NdPaGa2
1.0
5.136 0.000 0.000
2.568 4.448 0.000
2.568 1.483 4.194
Pa Nd Ga
1 1 2
direct
0.000 0.000 0.000 Pa
0.500 0.500 0.500 Nd
0.250 0.250 0.250 Ga
0.750 0.750 0.750 Ga
```

Output
DFT formation energy = -0.242 eV per atom

---

Entry 22:
Below is a relaxed NdPaGa2 crystal, with properties calculated at the PBE level.

```
NdPaGa2
1.0
3.317 0.000 0.000
0.000 3.317 0.000
0.000 0.000 8.410
Pa Nd Ga
1 1 2
direct
0.500 0.500 0.000 Pa
0.500 0.500 0.500 Nd
0.000 0.000 0.758 Ga
0.000 0.000 0.242 Ga
```

Output
DFT formation energy = -0.360 eV per atom

---

Entry 23:
Below is a relaxed NdPa2Ga crystal, with properties calculated at the PBE level.

```
NdPa2Ga
1.0
-2.155 2.302 -0.404
-2.896 -0.292 1.277
2.062 5.875 9.976
Pa Nd Ga
2 1 1
direct
0.094 0.094 0.718 Pa
0.906 0.906 0.282 Pa
0.000 0.000 0.000 Nd
0.500 0.500 0.500 Ga
```

Output
DFT formation energy = 0.177 eV per atom

---

Entry 24:
Below is a relaxed NdPa2Ga crystal, with properties calculated at the PBE level.

```
NdPa2Ga
1.0
-1.363 -1.059 -4.759
1.073 -4.238 0.636
-4.117 -0.838 1.366
Pa Nd Ga
2 1 1
direct
0.000 0.000 0.500 Pa
0.000 0.500 0.000 Pa
0.500 0.500 0.500 Nd
0.500 0.000 0.000 Ga
```

Output
DFT formation energy = -0.012 eV per atom

---

What theoretical density values result from the calculations? In sequence: 8.2; 8.5; 9.5; 10.4; 10.9; 9.1; 6.1; 6.0; 5.0; 6.3; 12.6; 8.4; 9.3; 7.7; 6.0; 6.5; 8.6; 7.9; 9.8; 8.4; 8.9; 9.2; 11.0; 11.4 g cm⁻³.
What N(E_F) values result from the calculations? In sequence: 0.94; 0.74; 0.53; 0.64; 0.68; 0.64; 0.71; 0.37; 0.48; 1.09; 0.42; 0.62; 0.63; 0.74; 0.29; 0.26; 1.23; 0.46; 1.99; 1.07; 1.81; 1.30; 1.82; 1.87 states/eV/atom.